Pr3NdS4, relaxed, DFT PBE; energy relative to the elements, uncorrected = -2.03 eV/atom; theoretical density = 5.9 g cm⁻³; ΔE to the lowest computed polymorph = 0 meV/atom
1.0
7.1213 0.0000 0.0000
0.0000 8.1278 0.0000
-2.3615 0.0000 6.7169
Pr Nd S
6 2 8
Cartesian
-0.5904 1.0137 1.6792 Pr
-1.7711 3.0459 5.0377 Pr
-0.5904 5.0819 1.6792 Pr
-1.7711 7.1141 5.0377 Pr
1.7895 1.0148 5.0377 Pr
2.9703 7.1130 1.6792 Pr
2.9703 3.0470 1.6792 Nd
1.7895 5.0808 5.0377 Nd
1.7862 1.0256 0.0080 S
0.6054 7.1021 3.3664 S
0.6146 3.0568 3.3577 S
-0.5661 5.0710 6.7162 S
5.3260 3.0568 0.0008 S
4.1452 5.0710 3.3592 S
4.1544 1.0256 3.3505 S
2.9737 7.1021 6.7090 S

Pr5Nd3S8, relaxed, DFT PBE; energy relative to the elements, uncorrected = -2.02 eV/atom; theoretical density = 6.0 g cm⁻³
1.0
4.0932 2.3632 6.6854
-4.0932 2.3632 6.6854
0.0000 -4.7264 6.6854
Pr Nd S
5 3 8
Cartesian
0.0000 0.0000 0.0000 Pr
-2.0466 -1.1816 6.6854 Pr
-2.0466 1.1816 13.3709 Pr
0.0000 2.3632 6.6854 Pr
0.0000 0.0000 10.0282 Pr
-4.0932 0.0000 10.0282 Nd
-2.0466 1.1816 3.3427 Nd
2.0466 1.1816 3.3427 Nd
-2.0562 -1.1871 11.6838 S
0.0000 0.0000 4.9911 S
0.0000 -2.3743 8.3725 S
-2.0562 1.1871 8.3725 S
2.0562 -1.1871 11.6838 S
0.0000 2.3743 11.6838 S
0.0000 0.0000 15.0653 S
2.0562 1.1871 8.3725 S

Pr3Nd2S4, relaxed, DFT PBE; energy relative to the elements, uncorrected = -1.78 eV/atom; theoretical density = 5.8 g cm⁻³
1.0
6.7808 -2.0459 0.0000
6.7808 2.0459 0.0000
-4.9433 0.0000 8.6015
Pr Nd S
3 2 4
Cartesian
0.0000 0.0000 0.0000 Pr
-1.2115 0.0000 6.8750 Pr
9.8296 0.0000 1.7265 Pr
2.4029 0.0000 5.2030 Nd
6.2153 0.0000 3.3985 Nd
1.2224 0.0000 2.6186 S
4.9170 0.0000 0.8684 S
3.7012 0.0000 7.7331 S
7.3958 0.0000 5.9829 S

Pr2NdS3, relaxed, DFT PBE; energy relative to the elements, uncorrected = -2.02 eV/atom; theoretical density = 6.0 g cm⁻³
1.0
-2.0502 2.8932 6.1327
2.0502 -2.8932 6.1327
2.0502 2.8932 -6.1327
Pr Nd S
2 1 3
Cartesian
0.0000 0.0000 2.0533 Pr
0.0000 0.0000 10.2121 Pr
0.0000 0.0000 6.1327 Nd
2.0502 0.0000 0.0000 S
2.0502 0.0000 4.1101 S
0.0000 2.8932 2.0226 S

Q: Which of these has the lowest energy relative to the elements, uncorrected?
A: Pr3NdS4

Q: Number 4 is which compound?
A: Pr2NdS3

Q: What is the theoretical density in the third record?
A: 5.8 g cm⁻³